[1]
# NbVSBr2 (PBE, relaxed)
# - DOS at the Fermi energy (states/eV/f.u.) = 7.7
# - raw formation energy (eV/atom) = 1.020
data_NbVSBr2
_space_group_name_H-M_alt 'P 1'
_space_group_IT_number 1
_cell_length_a 5.8197
_cell_length_b 5.8197
_cell_length_c 4.2873
_cell_angle_alpha 90.00
_cell_angle_beta 90.00
_cell_angle_gamma 90.00
loop_
_space_group_symop_operation_xyz
'x,y,z'
loop_
_atom_site_label
_atom_site_type_symbol
_atom_site_fract_x
_atom_site_fract_y
_atom_site_fract_z
Nb1 Nb 0.0000 0.0000 0.0000
V1 V 0.5000 0.5000 0.0000
S1 S 0.5000 0.5000 0.5000
Br1 Br 0.0000 0.5000 0.5000
Br2 Br 0.5000 0.0000 0.5000

[2]
# ZrNb2SBr (PBE, relaxed)
# - DOS at the Fermi energy (states/eV/f.u.) = 7.0
# - raw formation energy (eV/atom) = 1.070
data_ZrNb2SBr
_space_group_name_H-M_alt 'P 1'
_space_group_IT_number 1
_cell_length_a 4.7378
_cell_length_b 4.7378
_cell_length_c 5.0477
_cell_angle_alpha 90.00
_cell_angle_beta 90.00
_cell_angle_gamma 90.00
loop_
_space_group_symop_operation_xyz
'x,y,z'
loop_
_atom_site_label
_atom_site_type_symbol
_atom_site_fract_x
_atom_site_fract_y
_atom_site_fract_z
Zr1 Zr 0.0000 0.0000 0.0000
Nb1 Nb 0.0000 0.5000 0.5000
Nb2 Nb 0.5000 0.0000 0.5000
S1 S 0.5000 0.5000 0.0000
Br1 Br 0.0000 0.0000 0.5000